Material: KLiCo2
Method: DFT, PBE-GGA
State: relaxed

It has space group R-3m (No. 166, hexagonal axes), with a = 2.6781 Å, b = 2.6781 Å, c = 29.7204 Å, α = 90.00°, β = 90.00° and γ = 120.00°. The inequivalent atoms are K at (0.0000, 0.0000, 0.0000), Li at (0.0000, 0.0000, 0.5000) and Co at (0.0000, 0.0000, 0.2393).

Its density of states at the Fermi level is 1.0195 states/eV per atom. The value obtained for the calculated density is 4.42 g cm⁻³. The value obtained for the relative energy among the computed polymorphs is 349.7 meV/atom. As for the calculated formation energy: 79.8 kJ/mol of atoms.